Ce4Au | PBE-GGA | relaxed

The value obtained for the total moment is 2.7 Bohr magnetons per cell. The offset from the most stable computed form is 0 meV per atom. As for the formation energy: -0.0919 eV/atom.

a = 6.9173 Å, b = 6.9173 Å, c = 6.7953 Å
α = 85.51°, β = 85.51°, γ = 56.33°
Closest atoms and distances in Å follow each position.
Sites, in units of the cell vectors:
Ce 0.4637 0.4637 0.3130  1 Ce 2.76, 1 Au 2.90
Ce 0.5363 0.5363 0.6870  1 Ce 2.76, 1 Au 2.90
Ce 0.3916 0.9653 0.3562  2 Ce 2.78, 1 Au 3.04
Ce 0.6084 0.0347 0.6438  2 Ce 2.78, 1 Au 3.04
Ce 0.0347 0.6084 0.6438  2 Ce 2.78, 1 Au 3.04
Ce 0.9653 0.3916 0.3562  2 Ce 2.78, 1 Au 3.04
Ce 0.0862 0.0862 0.8560  1 Ce 2.74
Ce 0.9138 0.9138 0.1440  1 Ce 2.74
Au 0.3196 0.3196 0.9959  7 Ce 2.90-3.23
Au 0.6804 0.6804 0.0041  7 Ce 2.90-3.23